Material: LaCoAg2
Method: DFT, PBE
State: optimized geometry

Calculated total energy   -4.20 eV per atom
Energy of formation   0.231 eV/atom
Space group   No. 47

Unit cell a=3.2303 b=4.5573 c=5.5072 alpha=90.00 beta=90.00 gamma=90.00
Fractional coordinates of all 4 atoms:
Ag 0.0000 0.0000 0.0148
Ag 0.0000 0.0000 0.4852
Co 0.5000 0.5000 0.2500
La 0.5000 0.5000 0.7500

***

Material: ZnReRhI2
Method: DFT, PBE
State: optimized geometry

Calculated total energy   -3.76 eV per atom
Formation energy from raw total energies   5.4 eV/f.u.
Space group   No. 123

Unit cell a=5.4007 b=4.8318 c=5.4007 alpha=90.00 beta=90.00 gamma=90.00
Fractional coordinates of all 5 atoms:
I 0.0000 0.0000 0.5000
I 0.5000 0.0000 0.0000
Re 0.0000 0.0000 0.0000
Zn 0.5000 0.5000 0.5000
Rh 0.0000 0.5000 0.0000

***

Material: LiVMo2
Method: DFT, PBE
State: optimized geometry

Calculated total energy   -7.41 eV per atom
Energy of formation   0.761 eV/atom
Space group   No. 122

Unit cell a=6.7437 b=6.7437 c=5.4436 alpha=51.73 beta=51.73 gamma=90.00
Fractional coordinates of all 8 atoms:
Mo 0.6220 0.1250 0.2500
Mo 0.1280 0.6250 0.2500
Mo 0.3750 0.3780 0.7500
Mo 0.8750 0.8720 0.7500
V 0.0000 0.0000 0.0000
V 0.7500 0.2500 0.5000
Li 0.5000 0.5000 0.0000
Li 0.2500 0.7500 0.5000

***

Material: LaPm9Dy2
Method: DFT, PBE
State: optimized geometry

Calculated total energy   -4.72 eV per atom
Energy of formation   0.018 eV/atom
Space group   No. 123

Unit cell a=5.1463 b=5.1463 c=15.4649 alpha=90.00 beta=90.00 gamma=90.00
Fractional coordinates of all 12 atoms:
La 0.0000 0.0000 0.0000
Pm 0.5000 0.5000 0.0000
Pm 0.5000 0.5000 0.3360
Pm 0.5000 0.5000 0.6640
Pm 0.5000 0.0000 0.1700
Pm 0.5000 0.0000 0.5000
Pm 0.5000 0.0000 0.8300
Pm 0.0000 0.5000 0.1700
Pm 0.0000 0.5000 0.5000
Pm 0.0000 0.5000 0.8300
Dy 0.0000 0.0000 0.3346
Dy 0.0000 0.0000 0.6654

***

Material: PaCdRu2
Method: DFT, PBE
State: optimized geometry

Calculated total energy   -7.58 eV per atom
Energy of formation   -0.340 eV/atom
Space group   No. 123

Unit cell a=3.6625 b=4.4293 c=4.4293 alpha=90.00 beta=90.00 gamma=90.00
Fractional coordinates of all 4 atoms:
Ru 0.0000 0.0000 0.5000
Ru 0.0000 0.5000 0.0000
Pa 0.5000 0.5000 0.5000
Cd 0.5000 0.0000 0.0000

***

Material: PmH6Pt3
Method: DFT, PBE
State: optimized geometry

Calculated total energy   -4.61 eV per atom
Space group   No. 1

Unit cell a=5.7644 b=5.0524 c=6.6408 alpha=76.11 beta=135.34 gamma=125.34
Fractional coordinates of all 10 atoms:
Pm 0.7760 0.9025 0.6493
H 0.3731 0.4741 0.7896
H 0.0891 0.7387 0.2956
H 0.8586 0.9815 0.3282
H 0.3526 0.9502 0.7972
H 0.8213 0.4068 0.6790
H 0.4654 0.3450 0.2148
Pt 0.7332 0.4048 0.9726
Pt 0.3445 0.6526 0.9883
Pt 0.1860 0.1439 0.2855

***

Material: Cd2InSb
Method: DFT, PBE
State: optimized geometry

Calculated total energy   -2.10 eV per atom
Energy above the most stable polymorph in this dataset   0.0382 eV per atom
Formation energy from raw total energies   0.3 eV/f.u.
Space group   No. 225

Unit cell a=5.2945 b=5.2945 c=5.2945 alpha=60.00 beta=60.00 gamma=60.00
Fractional coordinates of all 4 atoms:
Sb 0.5000 0.5000 0.5000
Cd 0.2500 0.2500 0.2500
Cd 0.7500 0.7500 0.7500
In 0.0000 0.0000 0.0000

***

Material: Rb2SrBiO4
Method: DFT, PBE
State: optimized geometry

Calculated total energy   -5.02 eV per atom
Formation energy from raw total energies   -12.8 eV/f.u.
Space group   No. 10

Unit cell a=3.6829 b=6.3392 c=6.9097 alpha=108.11 beta=90.00 gamma=90.00
Fractional coordinates of all 8 atoms:
Rb 0.5000 0.0000 0.5000
Rb 0.0000 0.5000 0.5000
Sr 0.5000 0.5000 0.0000
Bi 0.0000 0.0000 0.0000
O 0.5000 0.2069 0.1860
O 0.5000 0.7931 0.8140
O 0.0000 0.2401 0.8155
O 0.0000 0.7599 0.1845

***

Number 1: N(E_F) 4.94 states/eV/f.u.. Number 2: N(E_F) 6.52 states/eV/f.u.. Number 3: N(E_F) 3.94 states/eV/f.u.. Number 4: N(E_F) 19.97 states/eV/f.u.. Number 5: N(E_F) 3.07 states/eV/f.u.. Number 6: N(E_F) 1.14 states/eV/f.u.. Number 7: N(E_F) 1.60 states/eV/f.u.. Number 8: N(E_F) 2.67 states/eV/f.u..